Compound: Dy8SnS6
Source: the Alexandria database
Functional: PBE
Structure: optimized geometry

a b c (Å): 3.9229 10.2071 10.2071
angles (deg): 120.00 90.00 90.00
Last column: nearest neighbours and their distance in Å.
Positions (direct):
Dy 0.2522 0.0348 0.6990  4 S 2.66-2.87
Dy 0.7485 0.3333 0.6667  6 S 2.76-2.77
Dy 0.2522 0.3010 0.3358  4 S 2.66-2.87
Dy 0.7478 0.6990 0.6642  4 S 2.66-2.87
Dy 0.7478 0.9652 0.3010  4 S 2.66-2.87
Dy 0.7478 0.3358 0.0348  4 S 2.66-2.87
Dy 0.2522 0.6642 0.9652  4 S 2.66-2.87
Dy 0.2515 0.6667 0.3333  6 S 2.76-2.77
S 0.2498 0.1365 0.4831  6 Dy 2.66-2.87
S 0.2498 0.5169 0.6534  6 Dy 2.66-2.87
S 0.7502 0.6534 0.1365  6 Dy 2.66-2.87
S 0.7502 0.4831 0.3466  6 Dy 2.66-2.87
S 0.7502 0.8635 0.5169  6 Dy 2.66-2.87
S 0.2498 0.3466 0.8635  6 Dy 2.66-2.87
Sn 0.5000 0.0000 0.0000  6 Dy 3.41

Values from the calculation:
* formation energy from raw total energies: -1.559 eV per atom


Compound: Dy2SnS
Source: the Alexandria database
Functional: PBE
Structure: optimized geometry

a b c (Å): 3.7782 3.7782 8.3043
angles (deg): 76.85 76.85 60.00
Last column: nearest neighbours and their distance in Å.
Positions (direct):
Dy 0.0673 0.0673 0.7981  3 S 2.70
Dy 0.2660 0.2660 0.2020  3 S 2.73
Sn 0.4992 0.4992 0.5023  6 Dy 3.22-3.25
S 0.6674 0.6674 0.9977  6 Dy 2.70-2.73

Values from the calculation:
* E above lowest polymorph: 9.3 meV/atom
* formation energy from raw total energies: -1.288 eV per atom


Compound: DySn3S6
Source: the Alexandria database
Functional: PBE
Structure: optimized geometry

a b c (Å): 3.8632 12.2871 11.3113
angles (deg): 114.40 90.00 90.00
Last column: nearest neighbours and their distance in Å.
Positions (direct):
S 0.2500 0.9131 0.5259  2 Sn 2.73, 3 Dy 2.86-2.89
S 0.7500 0.4113 0.5873  3 Sn 2.59-2.70
S 0.7500 0.0869 0.4741  2 Sn 2.73, 3 Dy 2.86-2.89
S 0.2500 0.0713 0.9059  3 Sn 2.68-2.92, 2 Dy 2.87
S 0.7500 0.3664 0.1082  3 Sn 2.60-2.64
S 0.2500 0.2373 0.7511  1 Sn 2.51, 2 Dy 2.80
S 0.7500 0.8214 0.7138  3 Sn 2.62-2.64
S 0.7500 0.7627 0.2489  1 Sn 2.51, 2 Dy 2.80
S 0.7500 0.9287 0.0941  3 Sn 2.68-2.92, 2 Dy 2.87
S 0.2500 0.1786 0.2862  3 Sn 2.62-2.64
S 0.2500 0.6336 0.8918  3 Sn 2.60-2.64
S 0.2500 0.5887 0.4127  3 Sn 2.59-2.70
Sn 0.7500 0.1553 0.1186  6 S 2.64-2.92
Sn 0.2500 0.5207 0.1536  3 S 2.60-2.70
Sn 0.7500 0.4793 0.8464  3 S 2.60-2.70
Sn 0.2500 0.8447 0.8814  6 S 2.64-2.92
Sn 0.2500 0.2590 0.5400  6 S 2.51-2.73
Sn 0.7500 0.7410 0.4600  6 S 2.51-2.73
Dy 0.7500 0.0608 0.7136  8 S 2.80-2.94
Dy 0.2500 0.9392 0.2864  8 S 2.80-2.94

Values from the calculation:
* formation energy from raw total energies: -0.752 eV per atom


Q: Among the records above, which one has the highest formation energy from raw total energies?
A: DySn3S6